PmGdRh after structural relaxation. Source: Alexandria, functional GGA-PBE.

a b c (Å): 3.524 3.524 6.877
angles (deg): 104.85 104.85 90.00
Sites, in units of the cell vectors:
Gd (0.322, 0.322, 0.644)
Rh (0.947, 0.947, 0.895)
Pm (0.581, 0.581, 0.161)

Calculated values
* energy of formation: -478.9 meV/atom
* excess energy over the best structure of this formula in the dataset: 0.09 eV per formula unit
* total magnetic moment: 7.4 μB/f.u.
* calculated volume: 79.61 Å³ per cell